Material: PuSc2Al9
Method: DFT, PBE
State: optimized geometry

Calculated values
**Space-group type**: P4/mmm
**E**: -5.453 eV per atom
**Energy of formation from the pure elements**: -0.396 eV/atom

a b c (Å): 4.1605 4.1605 12.4552
angles (deg): 90.00 90.00 90.00
Closest atoms and distances in Å follow each position.
Element x y z (fractional)
Pu 0.0000 0.0000 0.0000  12 Al 2.94-2.98
Sc 0.0000 0.0000 0.3362  12 Al 2.91-2.94
Sc 0.0000 0.0000 0.6638  12 Al 2.91-2.94
Al 0.0000 0.5000 0.1708  8 Al 2.92-2.98, 2 Sc 2.93, 2 Pu 2.98
Al 0.0000 0.5000 0.5000  4 Sc 2.91, 8 Al 2.92-2.94
Al 0.0000 0.5000 0.8292  8 Al 2.92-2.98, 2 Sc 2.93, 2 Pu 2.98
Al 0.5000 0.0000 0.1708  8 Al 2.92-2.98, 2 Sc 2.93, 2 Pu 2.98
Al 0.5000 0.0000 0.5000  4 Sc 2.91, 8 Al 2.92-2.94
Al 0.5000 0.0000 0.8292  8 Al 2.92-2.98, 2 Sc 2.93, 2 Pu 2.98
Al 0.5000 0.5000 0.0000  4 Pu 2.94, 8 Al 2.98
Al 0.5000 0.5000 0.3354  8 Al 2.92, 4 Sc 2.94
Al 0.5000 0.5000 0.6646  8 Al 2.92, 4 Sc 2.94